A plane-wave DFT calculation with PBE-GGA was carried out for a geometry-optimized TcHgAs structure.

Properties
The value obtained for the total magnetization is 0.00 μB/f.u. The value obtained for the final energy is -14.303 eV per cell. Its symmetry is P-6m2.

a b c (Å): 4.183 4.183 3.707
angles (deg): 90.00 90.00 120.00
Element x y z (fractional)
As (0.000, 0.000, 0.833)
Hg (0.667, 0.333, 0.333)
Tc (0.333, 0.667, 0.834)